# 1
An optimized crystal structure of BeCo2, computed with PBE-GGA.

The structure in CIF format:
```
data_BeCo2
_chemical_formula_sum 'Be2 Co4'
_cell_length_a 3.833
_cell_length_b 3.833
_cell_length_c 4.555
_cell_angle_alpha 90.00
_cell_angle_beta 90.00
_cell_angle_gamma 120.00
_space_group_name_H-M_alt 'P 1'
_space_group_IT_number 1
loop_
_space_group_symop_operation_xyz
'x,y,z'
loop_
_atom_site_label
_atom_site_fract_x
_atom_site_fract_y
_atom_site_fract_z
Be1 0.333 0.667 0.250
Be2 0.667 0.333 0.750
Co1 0.000 0.000 0.000
Co2 0.000 0.000 0.500
Co3 0.333 0.667 0.750
Co4 0.667 0.333 0.250
```



# 2
An optimized crystal structure of BeCo, computed with PBE-GGA.

The structure in CIF format:
```
data_BeCo
_chemical_formula_sum 'Be2 Co2'
_cell_length_a 4.143
_cell_length_b 4.143
_cell_length_c 4.142
_cell_angle_alpha 133.29
_cell_angle_beta 133.31
_cell_angle_gamma 68.11
_space_group_name_H-M_alt 'P 1'
_space_group_IT_number 1
loop_
_space_group_symop_operation_xyz
'x,y,z'
loop_
_atom_site_label
_atom_site_fract_x
_atom_site_fract_y
_atom_site_fract_z
Be1 0.000 0.000 0.000
Be2 0.250 0.750 0.500
Co1 0.500 0.500 0.000
Co2 0.750 0.250 0.500
```



# 3
# BeCo5, optimized geometry, DFT PBE-GGA
data_BeCo5
_chemical_formula_sum 'Be1 Co5'
_cell_length_a 4.452
_cell_length_b 4.452
_cell_length_c 5.905
_cell_angle_alpha 70.63
_cell_angle_beta 70.63
_cell_angle_gamma 34.13
_space_group_name_H-M_alt 'P 1'
_space_group_IT_number 1
loop_
_space_group_symop_operation_xyz
'x,y,z'
loop_
_atom_site_label
_atom_site_fract_x
_atom_site_fract_y
_atom_site_fract_z
Be1 0.973 0.973 0.055
Co1 0.300 0.300 0.374
Co2 0.644 0.644 0.737
Co3 0.625 0.625 0.207
Co4 0.972 0.972 0.556
Co5 0.320 0.320 0.905
# energy relative to the lowest polymorph listed for this composition	22	meV/atom



# 4
An optimized crystal structure of BeCo3, computed with PBE-GGA.

The structure in CIF format:
```
data_BeCo3
_chemical_formula_sum 'Be1 Co3'
_cell_length_a 4.521
_cell_length_b 4.521
_cell_length_c 4.521
_cell_angle_alpha 145.83
_cell_angle_beta 129.18
_cell_angle_gamma 62.67
_space_group_name_H-M_alt 'P 1'
_space_group_IT_number 1
loop_
_space_group_symop_operation_xyz
'x,y,z'
loop_
_atom_site_label
_atom_site_fract_x
_atom_site_fract_y
_atom_site_fract_z
Be1 0.083 0.000 0.083
Co1 0.583 0.500 0.083
Co2 0.846 0.262 0.584
Co3 0.321 0.738 0.584
```



# 5
An optimized crystal structure of BeCo3, computed with PBE-GGA.

The structure in CIF format:
```
data_BeCo3
_chemical_formula_sum 'Be1 Co3'
_cell_length_a 3.861
_cell_length_b 3.861
_cell_length_c 2.703
_cell_angle_alpha 90.00
_cell_angle_beta 90.00
_cell_angle_gamma 90.10
_space_group_name_H-M_alt 'P 1'
_space_group_IT_number 1
loop_
_space_group_symop_operation_xyz
'x,y,z'
loop_
_atom_site_label
_atom_site_fract_x
_atom_site_fract_y
_atom_site_fract_z
Be1 0.000 0.000 0.000
Co1 0.000 0.500 0.500
Co2 0.500 0.000 0.500
Co3 0.500 0.500 0.000
```



# 6
An optimized crystal structure of BeCo, computed with PBE-GGA.

The structure in CIF format:
```
data_BeCo
_chemical_formula_sum 'Be1 Co1'
_cell_length_a 2.439
_cell_length_b 2.439
_cell_length_c 3.535
_cell_angle_alpha 90.00
_cell_angle_beta 90.00
_cell_angle_gamma 120.00
_space_group_name_H-M_alt 'P 1'
_space_group_IT_number 1
loop_
_space_group_symop_operation_xyz
'x,y,z'
loop_
_atom_site_label
_atom_site_fract_x
_atom_site_fract_y
_atom_site_fract_z
Be1 0.000 0.000 0.000
Co1 0.667 0.333 0.500
```



# 7
# Be5Co3, optimized geometry, DFT PBE-GGA
data_Be5Co3
_chemical_formula_sum 'Be10 Co6'
_cell_length_a 6.208
_cell_length_b 6.208
_cell_length_c 6.205
_cell_angle_alpha 96.59
_cell_angle_beta 96.59
_cell_angle_gamma 140.51
_space_group_name_H-M_alt 'P 1'
_space_group_IT_number 1
loop_
_space_group_symop_operation_xyz
'x,y,z'
loop_
_atom_site_label
_atom_site_fract_x
_atom_site_fract_y
_atom_site_fract_z
Be1 0.250 0.750 0.500
Be2 0.749 0.250 0.500
Be3 0.745 0.060 0.810
Be4 0.254 0.940 0.190
Be5 0.751 0.562 0.314
Be6 0.248 0.438 0.686
Be7 0.560 0.246 0.810
Be8 0.439 0.754 0.190
Be9 0.061 0.252 0.314
Be10 0.938 0.748 0.686
Co1 0.751 0.749 0.000
Co2 0.249 0.251 0.000
Co3 0.315 0.185 0.500
Co4 0.684 0.815 0.500
Co5 0.181 0.681 0.868
Co6 0.818 0.319 0.132
# energy relative to the lowest polymorph listed for this composition	233	meV/atom



# 8
An optimized crystal structure of Be5Co, computed with PBE-GGA.

The structure in CIF format:
```
data_Be5Co
_chemical_formula_sum 'Be5 Co1'
_cell_length_a 2.695
_cell_length_b 3.450
_cell_length_c 5.551
_cell_angle_alpha 108.10
_cell_angle_beta 90.00
_cell_angle_gamma 90.00
_space_group_name_H-M_alt 'P 1'
_space_group_IT_number 1
loop_
_space_group_symop_operation_xyz
'x,y,z'
loop_
_atom_site_label
_atom_site_fract_x
_atom_site_fract_y
_atom_site_fract_z
Be1 0.000 0.309 0.617
Be2 0.000 0.636 0.271
Be3 0.500 0.472 0.944
Be4 0.500 0.803 0.605
Be5 0.500 0.142 0.284
Co1 0.000 0.972 0.944
```



Energy relative to the elements for the records above, in order: -81, -130, -51, -91, -49, -153, -82, -169 meV per atom
DOS(E_F) for the records above, in order: 6.46, 4.29, 5.40, 3.24, 3.89, 1.44, 11.68, 2.29 states/eV/cell